No. 1
# KPbAu5 PBE relaxed
data_KPbAu5
_symmetry_space_group_name_H-M 'P n m a'
_symmetry_Int_Tables_number 62
_cell_length_a 9.5516
_cell_length_b 5.7066
_cell_length_c 11.8070
_cell_angle_alpha 90.00
_cell_angle_beta 90.00
_cell_angle_gamma 90.00
loop_
_symmetry_equiv_pos_as_xyz
'x,y,z'
'-x,-y,-z'
'-x+1/2,-y,z+1/2'
'x+1/2,y,-z+1/2'
'x+1/2,-y+1/2,-z+1/2'
'-x+1/2,y+1/2,z+1/2'
'-x,y+1/2,-z'
'x,-y+1/2,z'
loop_
_atom_site_label
_atom_site_fract_x
_atom_site_fract_y
_atom_site_fract_z
_atom_site_occupancy
K1 0.2477 0.2500 0.0645 1
Pb1 0.1300 0.7500 0.8649 1
Au1 0.0622 0.7500 0.0989 1
Au2 0.0796 0.2500 0.5182 1
Au3 0.0815 0.0031 0.3130 1
Au4 0.1749 0.2500 0.7446 1
# crystal system = orthorhombic
# formation enthalpy at 0 K = -1.1 eV/f.u.
# DFT total energy = -3.18 eV/atom

No. 2
# ErSc2Te PBE relaxed
data_ErSc2Te
_symmetry_space_group_name_H-M 'P 4/m m m'
_symmetry_Int_Tables_number 123
_symmetry_space_group_name_Hall '-P 4 2'
_cell_length_a 3.7450
_cell_length_b 3.7450
_cell_length_c 7.1318
_cell_angle_alpha 90.00
_cell_angle_beta 90.00
_cell_angle_gamma 90.00
loop_
_atom_site_label
_atom_site_fract_x
_atom_site_fract_y
_atom_site_fract_z
_atom_site_occupancy
Er1 0.0000 0.0000 0.0000 1
Sc1 0.5000 0.5000 0.2749 1
Te1 0.0000 0.0000 0.5000 1
# crystal system = tetragonal
# energy relative to the elements, uncorrected = -190 kJ/mol of formula units
# E above lowest polymorph = 140 meV/atom
# DFT total energy = -5.58 eV/atom

No. 3
# ZrRe2Si PBE relaxed
data_ZrRe2Si
_symmetry_space_group_name_H-M 'I -4 2 d'
_symmetry_Int_Tables_number 122
_symmetry_space_group_name_Hall 'I -4 2bw'
_cell_length_a 7.3918
_cell_length_b 7.3918
_cell_length_c 5.1617
_cell_angle_alpha 90.00
_cell_angle_beta 90.00
_cell_angle_gamma 90.00
loop_
_atom_site_label
_atom_site_fract_x
_atom_site_fract_y
_atom_site_fract_z
_atom_site_occupancy
Zr1 0.0000 0.0000 0.0000 1
Re1 0.1789 0.7500 0.6250 1
Si1 0.0000 0.0000 0.5000 1
# crystal system = tetragonal
# energy relative to the elements, uncorrected = 141 kJ/mol of formula units
# DFT total energy = -9.35 eV/atom

No. 4
# Sc2Se PBE relaxed
data_Sc2Se
_symmetry_space_group_name_H-M 'P n n m'
_symmetry_Int_Tables_number 58
_cell_length_a 6.0416
_cell_length_b 6.3679
_cell_length_c 3.6521
_cell_angle_alpha 90.00
_cell_angle_beta 90.00
_cell_angle_gamma 90.00
loop_
_symmetry_equiv_pos_as_xyz
'x,y,z'
'-x,-y,-z'
'-x,-y,z'
'x,y,-z'
'x+1/2,-y+1/2,-z+1/2'
'-x+1/2,y+1/2,z+1/2'
'-x+1/2,y+1/2,-z+1/2'
'x+1/2,-y+1/2,z+1/2'
loop_
_atom_site_label
_atom_site_fract_x
_atom_site_fract_y
_atom_site_fract_z
_atom_site_occupancy
Sc1 0.2273 0.1515 0.0000 1
Se1 0.0000 0.5000 0.0000 1
# crystal system = orthorhombic
# energy relative to the elements, uncorrected = -266 kJ/mol of formula units
# DFT total energy = -6.30 eV/atom